Entry 1:
# LaPr2Dy2Er2

LaPr2Dy2Er2 after structural relaxation (PBE, Alexandria).

Lattice parameters (Å, degrees): 5.9443 5.6626 9.8903 61.58 90.00 121.66
Atoms (fractional coordinates):
La1 0.0000 0.0000 0.5000
Pr1 0.7018 0.4035 0.9536
Pr2 0.2982 0.5965 0.0464
Dy1 0.8579 0.7157 0.2138
Dy2 0.1421 0.2843 0.7862
Er1 0.5830 0.1661 0.6286
Er2 0.4170 0.8339 0.3714

Properties
Electronic total energy, eV per cell: -32.0
Symmetry: C2/m, No. 12



Entry 2:
# Pu4Pd3Au

Pu4Pd3Au after structural relaxation (PBE, Alexandria).

Lattice parameters (Å, degrees): 4.6167 3.8758 8.6657 90.00 90.00 90.00
Each line ends with the local moment (μB).
Atoms (fractional coordinates):
Pu1 0.5000 0.5000 0.6244  -4.56
Pu2 0.0000 0.5000 0.3560  -4.51
Pu3 0.0000 0.0000 0.1280  4.65
Pu4 0.5000 0.0000 0.4002  4.50
Pd1 0.0000 0.5000 0.8762  0.00
Pd2 0.0000 0.0000 0.6412  0.04
Pd3 0.5000 0.0000 0.8698  -0.01
Au1 0.5000 0.5000 0.1042  0.01

Properties
Electronic total energy, eV per cell: -77.9
Symmetry: Pmm2, No. 25
ΔE to the lowest computed polymorph, eV per atom: 0.183



Entry 3:
# EuGdMg2

EuGdMg2 after structural relaxation (PBE, Alexandria).

Lattice parameters (Å, degrees): 5.5300 5.5300 5.5300 60.00 60.00 60.00
Each line ends with the local moment (μB).
Atoms (fractional coordinates):
Eu1 0.0000 0.0000 0.0000  6.85
Mg1 0.2500 0.2500 0.2500  0.00
Mg2 0.7500 0.7500 0.7500  0.00
Gd1 0.5000 0.5000 0.5000  -7.12

Properties
Electronic total energy, eV per cell: -27.8
Symmetry: Fm-3m, No. 225
ΔE to the lowest computed polymorph, eV per atom: 0.023



Entry 4:
# BaTe2Ru

BaTe2Ru after structural relaxation (PBE, Alexandria).

Lattice parameters (Å, degrees): 4.8012 6.6769 4.5209 70.22 90.00 90.00
Each line ends with the local moment (μB).
Atoms (fractional coordinates):
Ba1 0.0000 0.4258 0.5996  0.01
Ru1 0.5000 0.0046 0.8101  0.20
Te1 0.0000 0.8545 0.8853  0.02
Te2 0.5000 0.2151 0.2049  0.01

Properties
Electronic total energy, eV per cell: -19.7
E_form (uncorrected), eV per atom: -0.565
Symmetry: Amm2, No. 38
ΔE to the lowest computed polymorph, eV per atom: 0.106



Entry 5:
# Pu4TlIn3

Pu4TlIn3 after structural relaxation (PBE, Alexandria).

Lattice parameters (Å, degrees): 3.2238 3.2238 19.7276 90.00 90.00 90.00
Each line ends with the local moment (μB).
Atoms (fractional coordinates):
Tl1 0.5000 0.5000 0.0000  0.06
In1 0.5000 0.5000 0.2510  0.00
In2 0.5000 0.5000 0.5000  -0.07
In3 0.5000 0.5000 0.7490  0.00
Pu1 0.0000 0.0000 0.8739  -5.55
Pu2 0.0000 0.0000 0.1261  -5.55
Pu3 0.0000 0.0000 0.3760  5.53
Pu4 0.0000 0.0000 0.6240  5.53

Properties
Electronic total energy, eV per cell: -69.1
Symmetry: P4/mmm, No. 123



Entry 6:
# AgHgO3

AgHgO3 after structural relaxation (PBE, Alexandria).

Lattice parameters (Å, degrees): 4.0274 4.0274 4.0274 90.00 90.00 90.00
Each line ends with the local moment (μB).
Atoms (fractional coordinates):
O1 0.0000 0.5000 0.0000  -0.10
O2 0.0000 0.0000 0.5000  -0.03
O3 0.5000 0.0000 0.0000  -0.10
Hg1 0.5000 0.5000 0.5000  0.01
Ag1 0.0000 0.0000 0.0000  -0.01

Properties
Electronic total energy, eV per cell: -15.8
E_form (uncorrected), eV per atom: 0.444
Symmetry: Pm-3m, No. 221



Entry 7:
# Ca2Al3Ga5

Ca2Al3Ga5 after structural relaxation (PBE, Alexandria).

Lattice parameters (Å, degrees): 4.3611 4.3611 10.9455 90.00 90.00 90.00
Atoms (fractional coordinates):
Ca1 0.5000 0.0000 0.2480
Ca2 0.0000 0.5000 0.7520
Al1 0.5000 0.0000 0.6362
Al2 0.0000 0.5000 0.3638
Al3 0.0000 0.0000 0.5000
Ga1 0.5000 0.5000 0.0000
Ga2 0.0000 0.0000 0.0000
Ga3 0.5000 0.0000 0.8656
Ga4 0.0000 0.5000 0.1344
Ga5 0.5000 0.5000 0.5000

Properties
Electronic total energy, eV per cell: -33.4
Symmetry: P-4m2, No. 115



Entry 8:
# PmPd3

PmPd3 after structural relaxation (PBE, Alexandria).

Lattice parameters (Å, degrees): 4.1861 4.1864 4.1858 90.00 90.00 90.00
Atoms (fractional coordinates):
Pd1 0.0000 0.0000 0.0833
Pd2 0.0000 0.5000 0.5833
Pd3 0.5000 0.5000 0.0833
Pm1 0.5000 0.0000 0.5833

Properties
Electronic total energy, eV per cell: -23.5
Symmetry: Pm-3m, No. 221



Entry 9:
# TbLuInPb

TbLuInPb after structural relaxation (PBE, Alexandria).

Lattice parameters (Å, degrees): 5.3639 5.3639 5.3639 60.00 60.00 60.00
Atoms (fractional coordinates):
Pb1 0.7500 0.7500 0.7500
Lu1 0.5000 0.5000 0.5000
Tb1 0.0000 0.0000 0.0000
In1 0.2500 0.2500 0.2500

Properties
Electronic total energy, eV per cell: -17.0
Symmetry: F-43m, No. 216



Entry 10:
# Pr3Sm3Zn2Hg

Pr3Sm3Zn2Hg after structural relaxation (PBE, Alexandria).

Lattice parameters (Å, degrees): 3.7583 8.9215 8.9215 120.00 90.00 90.00
Atoms (fractional coordinates):
Pr1 0.5000 0.7098 0.0000
Pr2 0.5000 0.0000 0.7098
Pr3 0.5000 0.2902 0.2902
Sm1 0.0000 0.6155 0.6155
Sm2 0.0000 0.0000 0.3845
Sm3 0.0000 0.3845 0.0000
Zn1 0.5000 0.6667 0.3333
Zn2 0.5000 0.3333 0.6667
Hg1 0.0000 0.0000 0.0000

Properties
Electronic total energy, eV per cell: -32.8
Symmetry: P-62m, No. 189



Entry 11:
# LaTb

LaTb after structural relaxation (PBE, Alexandria).

Lattice parameters (Å, degrees): 4.1164 4.1164 4.1164 90.00 90.00 90.00
Atoms (fractional coordinates):
Tb1 0.0000 0.0000 0.0000
La1 0.5000 0.5000 0.5000

Properties
Electronic total energy, eV per cell: -9.4
Symmetry: Pm-3m, No. 221
ΔE to the lowest computed polymorph, eV per atom: 0.081



Entry 12:
# ZrNiAs2

ZrNiAs2 after structural relaxation (PBE, Alexandria).

Lattice parameters (Å, degrees): 5.8151 5.8151 5.8151 144.78 142.65 52.28
Atoms (fractional coordinates):
As1 0.0216 0.0216 0.0000
As2 0.2963 0.7963 0.5000
Ni1 0.4677 0.4677 0.0000
Zr1 0.7144 0.2144 0.5000

Properties
Electronic total energy, eV per cell: -25.6
Symmetry: Imm2, No. 44



no.,size of the total moment (μB/f.u.)
1,0.00
2,0.10
3,0.17
4,0.29
5,0.02
6,0.27
7,0.00
8,0.00
9,0.00
10,0.00
11,0.00
12,0.00